VASP calculation (GGA+U) on a relaxed RbNa2V5H10O19 crystal.

Lattice parameters (Å, degrees): 8.809 10.555 11.512 109.66 85.93 117.31
Atoms (fractional coordinates):
O: 0.735 0.397 0.347
O: 0.569 0.615 0.603
O: 0.760 0.624 0.776
O: 0.294 0.137 0.179
O: 0.240 0.376 0.224
O: 0.485 0.138 0.350
O: 0.116 0.352 0.438
O: 0.611 0.374 0.568
O: 0.388 0.854 0.875
O: 0.706 0.863 0.821
O: 0.878 0.159 0.969
O: 0.679 0.645 0.391
O: 0.652 0.171 0.734
O: 0.612 0.146 0.125
O: 0.780 0.483 0.009
O: 0.660 0.924 0.446
O: 0.011 0.197 0.687
O: 0.220 0.517 0.991
O: 0.508 0.369 0.810
O: 0.553 0.396 0.177
O: 0.348 0.829 0.266
O: 0.989 0.803 0.313
O: 0.492 0.631 0.190
O: 0.515 0.862 0.650
O: 0.265 0.603 0.653
O: 0.431 0.385 0.397
O: 0.321 0.355 0.609
O: 0.956 0.476 0.739
O: 0.044 0.524 0.261
O: 0.389 0.626 0.432
O: 0.830 0.884 0.606
O: 0.170 0.116 0.394
O: 0.447 0.604 0.823
O: 0.340 0.076 0.554
O: 0.122 0.841 0.031
O: 0.966 0.098 0.213
O: 0.884 0.648 0.562
O: 0.034 0.902 0.787
H: 0.569 0.210 0.746
H: 0.875 0.756 0.343
H: 0.810 0.053 0.912
H: 0.414 0.941 0.292
H: 0.586 0.059 0.708
H: 0.297 0.553 0.929
H: 0.195 0.833 0.963
H: 0.125 0.244 0.657
H: 0.104 0.462 0.247
H: 0.033 0.915 0.347
H: 0.431 0.790 0.254
H: 0.967 0.085 0.653
H: 0.300 0.549 0.062
H: 0.700 0.451 0.938
H: 0.930 0.466 0.286
H: 0.190 0.947 0.088
H: 0.703 0.447 0.071
H: 0.805 0.167 0.037
H: 0.070 0.534 0.714
H: 0.896 0.538 0.753
V: 0.311 0.487 0.522
V: 0.377 0.199 0.485
V: 0.689 0.513 0.478
V: 0.471 0.766 0.768
V: 0.623 0.801 0.515
V: 0.534 0.481 0.729
V: 0.841 0.790 0.716
V: 0.529 0.234 0.232
V: 0.466 0.519 0.271
V: 0.159 0.210 0.284
Rb: 0.233 0.205 0.948
Rb: 0.767 0.795 0.052
Na: 0.920 0.331 0.868
Na: 0.816 0.234 0.569
Na: 0.080 0.669 0.132
Na: 0.184 0.766 0.431

Summary:
N(E_F) = 0.0000 states/eV/atom
E = -452.819 eV/cell
Space-group type = No. 2